# Zr2ReMo PBE-GGA optimized geometry
# ΔE_f: -0.24 eV per formula unit
data_Zr2ReMo
_chemical_formula_sum 'Zr2 Re1 Mo1'
_symmetry_space_group_name_H-M 'P 4/m m m'
_symmetry_Int_Tables_number 123
_symmetry_space_group_name_Hall '-P 4 2'
_cell_length_a 4.694
_cell_length_b 4.694
_cell_length_c 3.332
_cell_angle_alpha 90.00
_cell_angle_beta 90.00
_cell_angle_gamma 90.00
loop_
_atom_site_label
_atom_site_fract_x
_atom_site_fract_y
_atom_site_fract_z
Zr1 0.000 0.500 0.000
Re1 0.000 0.000 0.500
Mo1 0.500 0.500 0.500